LiTm2AlO5 | PBE-GGA | optimized geometry

Computed properties:
space group: P4/mbm, No. 127
VASP energy: -7.2778 eV per atom
DOS at the Fermi energy: 0.00 states/eV per cell

```
18
Lattice="6.291 0.000 0.000 0.000 6.291 0.000 0.000 0.000 5.523" Properties=species:S:1:pos:R:3 pbc="T T T"
Li 0.000 0.000 0.000
Li 3.146 3.146 0.000
Tm 1.123 2.023 2.761
Tm 2.023 5.169 2.761
Tm 4.268 1.123 2.761
Tm 5.169 4.268 2.761
Al 0.000 3.146 0.000
Al 3.146 0.000 0.000
O 0.000 0.000 2.761
O 0.871 4.016 1.310
O 0.871 4.016 4.213
O 2.275 0.871 1.310
O 2.275 0.871 4.213
O 3.146 3.146 2.761
O 4.016 5.421 1.310
O 4.016 5.421 4.213
O 5.421 2.275 1.310
O 5.421 2.275 4.213
```